1.
PBE-GGA Hg2BF6, relaxed; ΔE_f (raw) = -1.61 eV/atom
1.0
5.2959 0.0000 0.0000
0.0000 5.2959 0.0000
0.0000 0.0000 9.4753
Hg B F
4 2 12
direct
0.0000 0.0000 0.1473
0.0000 0.0000 0.8527
0.5000 0.5000 0.3527
0.5000 0.5000 0.6473
0.0000 0.0000 0.5000
0.5000 0.5000 0.0000
0.1779 0.1779 0.3530
0.1779 0.1779 0.6470
0.1812 0.8188 0.5000
0.3188 0.3188 0.0000
0.3221 0.6779 0.1470
0.3221 0.6779 0.8530
0.6779 0.3221 0.1470
0.6779 0.3221 0.8530
0.6812 0.6812 0.0000
0.8188 0.1812 0.5000
0.8221 0.8221 0.3530
0.8221 0.8221 0.6470

=====

2.
PBE-GGA Ac14TbSm, relaxed; energy of formation from the pure elements = 0.027 eV/atom
1.0
11.2161 0.0000 0.0000
0.0000 5.5756 5.5752
0.0000 -5.5756 5.5752
Ac Tb Sm
14 1 1
direct
0.0000 0.0000 0.0000
0.0000 0.0005 0.4989
0.0000 0.4989 0.0005
0.0000 0.4995 0.4995
0.2551 0.7495 0.7495
0.2562 0.2502 0.7492
0.2562 0.7492 0.2502
0.2574 0.2500 0.2500
0.5000 0.5008 0.9987
0.5000 0.9987 0.5008
0.7426 0.2500 0.2500
0.7438 0.2502 0.7492
0.7438 0.7492 0.2502
0.7449 0.7495 0.7495
0.5000 0.5001 0.5001
0.5000 0.9995 0.9995

=====

3.
PBE-GGA LiNi2Se, relaxed; ΔE_f (raw) = -0.06 eV/atom
1.0
2.7198 0.0000 0.0000
0.0000 4.3021 0.0000
-0.0754 0.0000 4.4399
Li Ni Se
1 2 1
direct
0.0000 0.0000 0.0000
0.2970 0.5000 0.2437
0.7030 0.5000 0.7563
0.5000 0.0000 0.5000

=====

4.
PBE-GGA Ag2SnO, relaxed; distance to the lowest polymorph of the same formula = 307 meV/atom; ΔE_f (raw) = 0.22 eV/atom
1.0
6.5399 0.0000 0.0000
0.0000 6.5399 0.0000
0.0000 0.0000 6.5399
Ag Sn O
8 4 4
direct
0.2500 0.2500 0.2500
0.2500 0.2500 0.7500
0.2500 0.7500 0.2500
0.2500 0.7500 0.7500
0.7500 0.2500 0.2500
0.7500 0.2500 0.7500
0.7500 0.7500 0.2500
0.7500 0.7500 0.7500
0.0000 0.0000 0.0000
0.0000 0.5000 0.5000
0.5000 0.0000 0.5000
0.5000 0.5000 0.0000
0.0000 0.0000 0.5000
0.0000 0.5000 0.0000
0.5000 0.0000 0.0000
0.5000 0.5000 0.5000

=====

5.
PBE-GGA Al2CrOs2, relaxed; distance to the lowest polymorph of the same formula = 0 meV/atom; energy of formation from the pure elements = -0.133 eV/atom
1.0
2.7915 0.0000 0.0000
0.0000 18.1765 0.0000
0.0000 0.0000 2.8964
Al Cr Os
4 2 4
direct
0.0000 0.1815 0.0000
0.0000 0.8185 0.0000
0.5000 0.3185 0.0000
0.5000 0.6815 0.0000
0.0000 0.0000 0.0000
0.5000 0.5000 0.0000
0.0000 0.4115 0.5000
0.0000 0.5885 0.5000
0.5000 0.0885 0.5000
0.5000 0.9115 0.5000

=====

6.
PBE-GGA Th4HAu2, relaxed; final energy = -83.04 eV per cell
1.0
4.6895 0.0000 0.0000
0.0000 4.6895 0.0000
0.0000 0.0000 16.1319
Th H Au
8 2 4
direct
0.0000 0.0000 0.1811
0.0000 0.0000 0.8189
0.0000 0.5000 0.0000
0.0000 0.5000 0.5000
0.5000 0.0000 0.0000
0.5000 0.0000 0.5000
0.5000 0.5000 0.3189
0.5000 0.5000 0.6811
0.0000 0.0000 0.0000
0.5000 0.5000 0.5000
0.0000 0.0000 0.3605
0.0000 0.0000 0.6395
0.5000 0.5000 0.1395
0.5000 0.5000 0.8605

=====

7.
PBE-GGA Nb2CrRuN, relaxed; ΔE_f (raw) = -0.40 eV/atom
1.0
4.3151 0.0000 0.0000
0.0000 4.3151 0.0000
0.0000 0.0000 3.7030
Nb Cr Ru N
2 1 1 1
direct
0.0000 0.5000 0.0000
0.5000 0.0000 0.0000
0.0000 0.0000 0.5000
0.5000 0.5000 0.5000
0.0000 0.0000 0.0000

=====

8.
PBE-GGA Nb2ZnBi2, relaxed; distance to the lowest polymorph of the same formula = 301 meV/atom; energy of formation from the pure elements = 0.532 eV/atom
1.0
8.0057 0.0000 0.0000
0.0000 8.0057 0.0000
0.0000 0.0000 3.5843
Nb Zn Bi
4 2 4
direct
0.1317 0.3683 0.0000
0.3683 0.8683 0.0000
0.6317 0.1317 0.0000
0.8683 0.6317 0.0000
0.0000 0.0000 0.5000
0.5000 0.5000 0.5000
0.1604 0.6604 0.5000
0.3396 0.1604 0.5000
0.6604 0.8396 0.5000
0.8396 0.3396 0.5000

=====

9.
PBE-GGA SnBiHN2, relaxed; final energy = -19.42 eV per cell
1.0
4.4874 0.0000 0.0000
0.0000 4.4874 0.0000
0.0000 0.0000 3.6056
Sn Bi H N
1 1 1 2
direct
0.0000 0.0000 0.0000
0.5000 0.5000 0.0000
0.5000 0.5000 0.5000
0.0000 0.5000 0.5000
0.5000 0.0000 0.5000

=====

10.
PBE-GGA TiGeMo, relaxed; energy of formation from the pure elements = -0.430 eV/atom
1.0
3.3209 0.0000 0.0000
0.0000 4.1390 0.0000
0.0000 0.0000 7.0410
Ti Ge Mo
2 2 2
direct
0.2500 0.2500 0.1511
0.7500 0.7500 0.8489
0.2500 0.2500 0.7812
0.7500 0.7500 0.2188
0.2500 0.7500 0.5130
0.7500 0.2500 0.4870

=====

11.
PBE-GGA RhPb2, relaxed; energy of formation from the pure elements = -0.011 eV/atom
1.0
4.7643 0.0000 0.0000
0.0000 4.7719 0.0000
-2.3051 0.0000 6.3146
Rh Pb
2 4
direct
0.0000 0.0000 0.0000
0.5000 0.5000 0.0000
0.1319 0.5000 0.2696
0.3681 0.0000 0.7304
0.6319 0.0000 0.2696
0.8681 0.5000 0.7304

=====

12.
PBE-GGA Tm4Ge2PSe, relaxed; ΔE_f (raw) = -1.23 eV/atom
1.0
6.8753 0.0000 0.0000
0.0000 3.9813 0.0000
-2.2988 0.0000 6.8223
Tm Ge P Se
4 2 1 1
direct
0.2390 0.0000 0.2411
0.2405 0.5000 0.7489
0.7595 0.5000 0.2511
0.7610 0.0000 0.7589
0.0000 0.0000 0.5000
0.5000 0.5000 0.5000
0.0000 0.5000 0.0000
0.5000 0.0000 0.0000

=====

13.
PBE-GGA PmThIrPt, relaxed; distance to the lowest polymorph of the same formula = 0 meV/atom; energy of formation from the pure elements = -1.068 eV/atom
1.0
4.3136 0.0000 0.0000
0.0000 3.9000 0.0000
0.0000 0.0000 11.2868
Pm Th Ir Pt
2 2 2 2
direct
0.0000 0.0000 0.0000
0.0000 0.5000 0.5000
0.5000 0.0000 0.2755
0.5000 0.5000 0.7755
0.0000 0.0000 0.7384
0.0000 0.5000 0.2384
0.5000 0.0000 0.5509
0.5000 0.5000 0.0509

=====

14.
PBE-GGA ZnHgTe2, relaxed; ΔE_f (raw) = 0.24 eV/atom
1.0
5.0817 0.0000 0.0000
0.0000 5.0817 0.0000
0.0000 0.0000 3.9575
Zn Hg Te
1 1 2
direct
0.0000 0.0000 0.0000
0.5000 0.5000 0.0000
0.0000 0.5000 0.5000
0.5000 0.0000 0.5000

=====

15.
PBE-GGA VP2Ru, relaxed; distance to the lowest polymorph of the same formula = 311 meV/atom; energy of formation from the pure elements = -0.118 eV/atom
1.0
4.7381 0.0000 0.0000
0.0000 4.7381 0.0000
0.0000 0.0000 12.5679
V P Ru
4 8 4
direct
0.0000 0.0000 0.0000
0.0000 0.5000 0.2500
0.5000 0.0000 0.7500
0.5000 0.5000 0.5000
0.2374 0.2500 0.6250
0.2500 0.7374 0.8750
0.2500 0.7626 0.3750
0.2626 0.2500 0.1250
0.7374 0.7500 0.1250
0.7500 0.2374 0.3750
0.7500 0.2626 0.8750
0.7626 0.7500 0.6250
0.0000 0.0000 0.5000
0.0000 0.5000 0.7500
0.5000 0.0000 0.2500
0.5000 0.5000 0.0000

=====

16.
PBE-GGA NbAl2CdFe, relaxed; energy of formation from the pure elements = 1.513 eV/atom
1.0
4.6842 0.0000 0.0000
0.0000 4.6842 0.0000
0.0000 0.0000 4.6421
Nb Al Cd Fe
1 2 1 1
direct
0.0000 0.0000 0.0000
0.0000 0.5000 0.5000
0.5000 0.0000 0.5000
0.5000 0.5000 0.5000
0.5000 0.5000 0.0000

=====

17.
PBE-GGA ZrTaSb2, relaxed; distance to the lowest polymorph of the same formula = 0 meV/atom; ΔE_f (raw) = -0.29 eV/atom
1.0
3.6940 0.0000 0.0000
0.0000 3.6940 0.0000
0.0000 0.0000 6.5792
Zr Ta Sb
1 1 2
direct
0.0000 0.0000 0.0000
0.5000 0.5000 0.7304
0.0000 0.0000 0.5386
0.5000 0.5000 0.1947

=====

no.,DOS at the Fermi energy (states/eV/f.u.)
1,3.03
2,29.69
3,4.10
4,1.72
5,4.00
6,10.79
7,6.30
8,3.05
9,2.94
10,1.85
11,2.56
12,2.94
13,2.93
14,1.83
15,3.75
16,7.26
17,2.14